# 1
Here is a relaxed structure of CuPt3 from the Alexandria database. Energies are from PBEsol.

POSCAR file:
```
CuPt3
1.0
1.359 0.785 8.892
-1.359 0.785 8.892
0.000 -1.569 8.892
Cu Pt
1 3
Direct
0.000 0.000 0.000 Cu
0.255 0.255 0.255 Pt
0.500 0.500 0.500 Pt
0.745 0.745 0.745 Pt
```

Results
Energy ... -6.37 eV/atom
SG ... No. 166
Total magnetization ... 0.0002 μB per atom

---

# 2
Here is a relaxed structure of Al2AuCl from the Alexandria database. Energies are from PBEsol.

POSCAR file:
```
Al2AuCl
1.0
-1.632 2.844 4.001
1.632 -2.844 4.001
1.632 2.844 -4.001
Al Au Cl
2 1 1
Direct
0.250 0.250 0.000 Al
0.750 0.750 0.000 Al
0.500 0.000 0.500 Au
0.000 0.500 0.500 Cl
```

Results
SG ... No. 71
Energy relative to the elements, uncorrected ... -102 meV/atom
Total magnetization ... 0.0000 μB per atom

---

# 3
Here is a relaxed structure of InPb5 from the Alexandria database. Energies are from PBEsol.

POSCAR file:
```
InPb5
1.0
6.400 -1.720 0.000
6.400 1.720 0.000
-2.315 0.000 7.871
In Pb
1 5
Direct
0.000 0.000 0.000 In
0.053 0.053 0.611 Pb
0.335 0.335 0.671 Pb
0.390 0.390 0.271 Pb
0.665 0.665 0.332 Pb
0.719 0.719 0.944 Pb
```

Results
Energy ... -3.81 eV/atom
SG ... No. 8
Total magnetization ... 0.0000 μB per atom